No. 1
Here is a relaxed structure of Hg2S2O7 from Alexandria. Energies are from PBE.

Cell and atoms, written as POSCAR:
```
Hg2S2O7
1.0
5.3108 0.3564 0.4648
-0.6139 5.9538 0.7556
-0.6139 -0.8141 5.9461
S Hg O
2 2 7
Direct
0.1556 0.8405 0.8405
0.8444 0.1595 0.1595
0.5000 0.6521 0.3479
0.5000 0.3479 0.6521
0.3084 0.7056 0.9923
0.6916 0.2944 0.0077
0.6916 0.0077 0.2944
0.0000 0.0000 0.0000
0.0280 0.2872 0.2872
0.3084 0.9923 0.7056
0.9720 0.7128 0.7128
```

Output
Excess energy over the best structure of this formula in the dataset, eV per formula unit: 0.00
Space group: C2/m, No. 12
V, A^3/atom: 17.67
DOS at the Fermi energy, states/eV per cell: 0.00
Crystal system: monoclinic
Energy relative to the elements, uncorrected, eV per atom: -0.928
Final energy, eV per atom: -4.89

No. 2
Here is a relaxed structure of HgS3O from Alexandria. Energies are from PBE.

Cell and atoms, written as POSCAR:
```
HgS3O
1.0
-2.7541 -2.2994 3.5199
-2.2704 -2.7282 -3.5587
3.5387 -3.5400 0.4562
O S Hg
1 3 1
Direct
0.5000 0.5000 0.5000
0.5000 0.0000 0.0000
0.0000 0.5000 0.0000
0.0000 0.0000 0.5000
0.0000 0.0000 0.0000
```

Output
Excess energy over the best structure of this formula in the dataset, eV per formula unit: 4.44
Space group: Pm-3m, No. 221
V, A^3/atom: 25.39
DOS at the Fermi energy, states/eV per cell: 16.46
Crystal system: cubic
Energy relative to the elements, uncorrected, eV per atom: 1.722
Final energy, eV per atom: -1.81

No. 3
Here is a relaxed structure of HgS2O from Alexandria. Energies are from PBE.

Cell and atoms, written as POSCAR:
```
HgS2O
1.0
-4.3407 2.5779 -1.3345
-0.0405 -2.4542 -4.6090
-5.3785 -4.1346 -0.7092
O S Hg
2 4 2
Direct
0.2500 0.7500 0.5000
0.5000 0.5000 0.0000
0.5013 0.1250 0.2500
0.3750 0.4987 0.7500
0.2487 0.6250 0.2500
0.8750 0.7513 0.7500
0.0000 0.0000 0.0000
0.7500 0.2500 0.5000
```

Output
Excess energy over the best structure of this formula in the dataset, eV per formula unit: 0.00
Space group: I-42d, No. 122
V, A^3/atom: 19.55
DOS at the Fermi energy, states/eV per cell: 1.16
Crystal system: tetragonal
Energy relative to the elements, uncorrected, eV per atom: 0.376
Final energy, eV per atom: -3.00